Here is a relaxed TlMoRu2O8 crystal from the Alexandria database. Energies are from PBE with a Hubbard U.

Values from the calculation:
**Calculated total energy**: -6.534 eV per atom
**Size of the total moment**: 4.51 μB/f.u.
**Space group**: P-3 (147)

Cell lengths 5.3306, 5.3306, 8.4771 Å; angles 90.00, 90.00, 120.00 degrees
Closest atoms and distances in Å follow each position.
Fractional positions:
Tl 0.0000 0.0000 0.0000  12 O 3.14-3.43
Mo 0.0000 0.0000 0.5000  6 O 2.05
Ru 0.3333 0.6667 0.7202  4 O 1.76-1.84
Ru 0.6667 0.3333 0.2798  4 O 1.76-1.84
O 0.0359 0.3238 0.6445  1 Ru 1.84, 1 Mo 2.05
O 0.2880 0.9641 0.6445  1 Ru 1.84, 1 Mo 2.05
O 0.3238 0.2880 0.3555  1 Ru 1.84, 1 Mo 2.05
O 0.3333 0.6667 0.9277  1 Ru 1.76
O 0.6667 0.3333 0.0723  1 Ru 1.76
O 0.6762 0.7120 0.6445  1 Ru 1.84, 1 Mo 2.05
O 0.7120 0.0359 0.3555  1 Ru 1.84, 1 Mo 2.05
O 0.9641 0.6762 0.3555  1 Ru 1.84, 1 Mo 2.05